Record 1
{"formula": "RbYInSe3", "functional": "PBE", "state": "relaxed", "lattice_angstrom": [[4.1111, 0.0000, 0.0000], [0.0000, 8.9458, -0.5380], [0.0000, -2.9391, 11.0310]], "species": ["In", "Se", "Se", "In", "Y", "Se", "Se", "Y", "Se", "Rb", "Rb", "Se"], "fractional_positions": [[0.2500, 0.1315, 0.5796], [0.7500, 0.3352, 0.5878], [0.7500, 0.4142, 0.1136], [0.7500, 0.8685, 0.4204], [0.7500, 0.3559, 0.8550], [0.2500, 0.1125, 0.8066], [0.7500, 0.8875, 0.1934], [0.2500, 0.6441, 0.1451], [0.2500, 0.5858, 0.8864], [0.2500, 0.2331, 0.2705], [0.7500, 0.7669, 0.7295], [0.2500, 0.6648, 0.4122]], "energy_ev_per_atom": -4.715, "raw_formation_energy_ev_per_atom": -1.28}


Record 2
{"formula": "CsVB2Cl8", "functional": "PBE", "state": "relaxed", "lattice_angstrom": [[6.1190, 0.0000, 0.0000], [3.0595, 5.2992, 0.0000], [3.0595, 1.7664, 9.6378]], "species": ["Cl", "Cs", "Cl", "B", "Cl", "Cl", "B", "V", "Cl", "Cl", "Cl", "Cl"], "fractional_positions": [[0.2712, 0.9916, 0.1636], [0.5000, 0.5000, 0.5000], [0.4265, 0.7288, 0.8364], [0.7415, 0.7415, 0.7754], [0.7288, 0.0084, 0.8364], [0.8062, 0.8062, 0.5813], [0.2585, 0.2585, 0.2246], [0.0000, 0.0000, 0.0000], [0.1938, 0.1938, 0.4187], [0.0084, 0.4265, 0.8364], [0.5735, 0.2712, 0.1636], [0.9916, 0.5735, 0.1636]], "energy_ev_per_atom": -4.106, "raw_formation_energy_ev_per_atom": -0.93}


Record 3
{"formula": "AcDyGe3", "functional": "PBE", "state": "relaxed", "lattice_angstrom": [[4.0734, 0.0000, 0.0000], [0.0000, 4.4431, 0.0000], [0.0000, -2.2215, 13.8177]], "species": ["Dy", "Dy", "Ge", "Ge", "Ge", "Ac", "Ac", "Ge", "Ge", "Ge"], "fractional_positions": [[0.2500, 0.7956, 0.5913], [0.7500, 0.2044, 0.4087], [0.7500, 0.6293, 0.2586], [0.7500, 0.3105, 0.6210], [0.2500, 0.3707, 0.7414], [0.7500, 0.9247, 0.8494], [0.2500, 0.0753, 0.1506], [0.7500, 0.5273, 0.0547], [0.2500, 0.6895, 0.3790], [0.2500, 0.4727, 0.9453]], "energy_ev_per_atom": -5.210, "ef_ev_per_fu": -3.5}


Record 4
{"formula": "TbNpCo10", "functional": "PBE", "state": "relaxed", "lattice_angstrom": [[-0.6765, 3.6449, -1.4583], [0.7964, -1.6655, -4.5322], [-8.1521, -1.8188, -0.7642]], "species": ["Co", "Co", "Co", "Tb", "Co", "Co", "Co", "Co", "Co", "Np", "Co", "Co"], "fractional_positions": [[0.5000, 0.2480, 0.2506], [0.0000, 0.5000, 0.8135], [0.0000, 0.0000, 0.6555], [0.0000, 0.0000, 0.0000], [0.5000, 0.0000, 0.5000], [0.5000, 0.2480, 0.7494], [0.5000, 0.7520, 0.7494], [0.0000, 0.5000, 0.1865], [0.5000, 0.5000, 0.0000], [0.0000, 0.5000, 0.5000], [0.5000, 0.7520, 0.2506], [0.0000, 0.0000, 0.3445]], "energy_ev_per_atom": -7.457, "ef_ev_per_fu": -0.9}


Record 5
{"formula": "LaCe3Sn3", "functional": "PBE", "state": "relaxed", "lattice_angstrom": [[5.3967, 0.0000, 0.0000], [0.0000, 9.3783, 0.0000], [0.0000, -4.6891, 8.1218]], "species": ["Sn", "Ce", "Ce", "Ce", "Ce", "La", "Sn", "Ce", "La", "Sn", "Ce", "Sn", "Sn", "Sn"], "fractional_positions": [[0.7500, 0.4514, 0.0713], [0.2500, 0.7710, 0.7667], [0.7500, 0.7667, 0.9957], [0.2500, 0.9957, 0.2290], [0.7500, 0.2290, 0.2333], [0.7500, 0.3333, 0.6667], [0.7500, 0.9287, 0.3802], [0.7500, 0.0043, 0.7710], [0.2500, 0.6667, 0.3333], [0.2500, 0.3802, 0.4514], [0.2500, 0.2333, 0.0043], [0.7500, 0.6198, 0.5486], [0.2500, 0.5486, 0.9287], [0.2500, 0.0713, 0.6198]], "energy_ev_per_atom": -5.413, "ef_ev_per_fu": -3.2}


Record 6
{"formula": "Al2InSe4", "functional": "PBE", "state": "relaxed", "lattice_angstrom": [[6.4148, -0.1396, 0.0000], [-3.2110, 5.5551, 0.0000], [-1.6019, -2.7077, 5.5921]], "species": ["Se", "In", "Al", "Al", "Se", "Se", "Se"], "fractional_positions": [[0.3328, 0.1631, 0.4959], [0.5000, 0.5000, 0.0000], [0.2500, 0.7500, 0.5000], [0.7500, 0.2500, 0.5000], [0.8369, 0.3328, 0.1697], [0.6672, 0.8369, 0.5041], [0.1631, 0.6672, 0.8303]], "energy_ev_per_atom": -4.109, "de_polymorph_mev_per_atom": 0, "raw_formation_energy_ev_per_atom": -0.66}


Record 7
{"formula": "TlNi2Cl", "functional": "PBE", "state": "relaxed", "lattice_angstrom": [[0.0000, 3.1947, 3.1947], [3.1947, 0.0000, 3.1947], [3.1947, 3.1947, 0.0000]], "species": ["Tl", "Cl", "Ni", "Ni"], "fractional_positions": [[0.5000, 0.5000, 0.5000], [0.0000, 0.0000, 0.0000], [0.2500, 0.2500, 0.2500], [0.7500, 0.7500, 0.7500]], "energy_ev_per_atom": -3.459, "de_polymorph_mev_per_atom": 411, "raw_formation_energy_ev_per_atom": 0.48}


Record 8
{"formula": "CaSi2", "functional": "PBE", "state": "relaxed", "lattice_angstrom": [[-6.9617, 3.3503, 6.1681], [4.6745, -1.9906, -8.4807], [-1.7606, -3.2960, -0.1968]], "species": ["Si", "Ca", "Ca", "Si", "Si", "Si"], "fractional_positions": [[0.2555, 0.7445, 0.7500], [0.3837, 0.6163, 0.2500], [0.6163, 0.3837, 0.7500], [0.0355, 0.9645, 0.2500], [0.7445, 0.2555, 0.2500], [0.9645, 0.0355, 0.7500]], "energy_ev_per_atom": -4.436, "raw_formation_energy_ev_per_atom": -0.15}


Record 9
{"formula": "Pr2PRh", "functional": "PBE", "state": "relaxed", "lattice_angstrom": [[-1.0776, 3.6154, -1.7515], [-3.7974, 0.4708, -1.6305], [-3.9823, 3.6376, 5.0201]], "species": ["Pr", "Pr", "P", "Rh"], "fractional_positions": [[0.7501, 0.7501, 0.7498], [0.2499, 0.2499, 0.2502], [0.0000, 0.0000, 0.0000], [0.5000, 0.5000, 0.5000]], "energy_ev_per_atom": -6.480, "ef_ev_per_fu": -3.6}


Record 10
{"formula": "Ho3ScIn4", "functional": "PBE", "state": "relaxed", "lattice_angstrom": [[-1.6424, 0.2460, 3.2520], [-1.8909, -3.0385, -0.7251], [11.0628, -8.3692, 6.2203]], "species": ["In", "Ho", "Ho", "Sc", "In", "In", "Ho", "In"], "fractional_positions": [[0.0000, 0.0000, 0.3702], [0.5000, 0.5000, 0.2412], [0.5000, 0.5000, 0.5000], [0.5000, 0.5000, 0.0000], [0.0000, 0.0000, 0.6298], [0.0000, 0.0000, 0.1124], [0.5000, 0.5000, 0.7588], [0.0000, 0.0000, 0.8876]], "energy_ev_per_atom": -4.320, "ef_ev_per_fu": -3.5}


Record 11
{"formula": "PrTm5N6", "functional": "PBE", "state": "relaxed", "lattice_angstrom": [[-5.1907, -2.7651, 1.0825], [-0.7583, -0.5787, 5.9098], [-2.7934, 4.2972, 3.0943]], "species": ["Tm", "N", "Tm", "Tm", "N", "N", "Tm", "N", "Pr", "Tm", "N", "N"], "fractional_positions": [[0.5000, 0.5000, 0.0000], [0.2558, 0.2595, 0.0000], [0.5000, 0.1684, 0.6632], [0.5000, 0.8316, 0.3368], [0.2555, 0.9149, 0.6553], [0.7445, 0.0851, 0.3447], [0.0000, 0.6665, 0.6670], [0.7442, 0.7405, 0.0000], [0.0000, 0.0000, 0.0000], [0.0000, 0.3335, 0.3330], [0.7445, 0.4299, 0.6553], [0.2555, 0.5701, 0.3447]], "energy_ev_per_atom": -8.123, "raw_formation_energy_ev_per_atom": -1.70}


Record 12
{"formula": "Ca8AlCd2", "functional": "PBE", "state": "relaxed", "lattice_angstrom": [[5.4376, 0.0000, 0.0000], [0.0000, 7.6952, 0.0035], [-2.7188, -3.2935, 8.8278]], "species": ["Al", "Ca", "Ca", "Ca", "Ca", "Ca", "Ca", "Ca", "Ca", "Cd", "Cd"], "fractional_positions": [[0.5000, 0.0000, 0.0000], [0.8031, 0.7047, 0.6061], [0.1969, 0.2953, 0.3939], [0.3342, 0.0445, 0.6685], [0.6658, 0.9555, 0.3315], [0.4051, 0.5554, 0.8101], [0.5949, 0.4446, 0.1899], [0.9736, 0.2098, 0.9473], [0.0264, 0.7902, 0.0528], [0.1795, 0.6937, 0.3589], [0.8205, 0.3063, 0.6411]], "energy_ev_per_atom": -2.133, "ef_ev_per_fu": -1.9, "de_polymorph_mev_per_atom": 0}